This record from the Alexandria database describes crystalline KZn2GaCo at its relaxed geometry. The functional is PBE.

The structure in POSCAR format:
```
KZn2GaCo
1.0
4.779 0.000 0.000
0.000 4.779 0.000
0.000 0.000 4.593
K Zn Ga Co
1 2 1 1
Cartesian
0.000 0.000 0.000 K
0.000 2.389 2.296 Zn
2.389 0.000 2.296 Zn
2.389 2.389 0.000 Ga
2.389 2.389 2.296 Co
```

Fermi-level density of states in states/eV per atom: 0.313
Formation energy from the elements in eV per atom: -0.03
Symmetry: P4/mmm (123)